VASP calculation (PBE) on a geometry-optimized K2NaCl structure.

Cell lengths 8.2274, 8.2274, 8.2274 Å; angles 112.40, 112.40, 103.77 degrees
Last column: nearest neighbours and their distance in Å.
Positions (direct):
K: 0.0395 0.1250 0.4145  2 Cl 3.02
K: 0.3750 0.9605 0.0855  2 Cl 3.02
K: 0.7105 0.6250 0.5855  2 Cl 3.02
K: 0.8750 0.2895 0.9145  2 Cl 3.02
Na: 0.2500 0.7500 0.5000  4 K 4.04
Na: 0.5000 0.5000 0.0000  4 K 4.04
Cl: 0.0000 0.0000 0.0000  4 K 3.02
Cl: 0.7500 0.2500 0.5000  4 K 3.02

raw formation energy: -0.826 eV per atom
space-group type: I-42d (122)
crystal system: tetragonal
E above lowest polymorph: 79 meV/atom

=====

VASP calculation (PBE) on a geometry-optimized HfSnPd2 structure.

Cell lengths 6.0869, 6.0869, 6.0869 Å; angles 151.65, 130.53, 58.00 degrees
Last column: nearest neighbours and their distance in Å.
Positions (direct):
Hf: 0.0000 0.0000 0.0000  2 Pd 2.55
Sn: 0.5000 0.5000 0.0000  2 Pd 2.77, 4 Hf 2.95, 2 Sn 2.98
Pd: 0.2398 0.2398 0.0000  1 Hf 2.55, 1 Sn 2.77
Pd: 0.7602 0.7602 0.0000  1 Hf 2.55, 1 Sn 2.77

energy of formation: -0.0732 eV/atom
space-group type: Immm (71)
crystal system: orthorhombic

=====

VASP calculation (PBE) on a geometry-optimized Li4SiTe structure.

Cell lengths 5.2783, 5.2783, 5.2783 Å; angles 60.00, 60.00, 60.00 degrees
Last column: nearest neighbours and their distance in Å.
Positions (direct):
Li: 0.1235 0.1235 0.1235  6 Li 2.61-2.67
Li: 0.1235 0.1235 0.6296  6 Li 2.61-2.67
Li: 0.1235 0.6296 0.1235  6 Li 2.61-2.67
Li: 0.6296 0.1235 0.1235  6 Li 2.61-2.67
Si: 0.7500 0.7500 0.7500  12 Li 3.09, 4 Te 3.23
Te: 0.5000 0.5000 0.5000  12 Li 3.10, 4 Si 3.23

raw formation energy: -0.025 eV per atom
space-group type: F-43m (216)
crystal system: cubic

=====

VASP calculation (PBE) on a geometry-optimized CsTl2IrBr8 structure.

Cell lengths 6.0612, 7.2938, 9.7808 Å; angles 89.87, 74.20, 89.53 degrees
Last column: nearest neighbours and their distance in Å.
Positions (direct):
Cs: 0.0000 0.0000 0.0000  12 Br 3.93-4.21
Tl: 0.3063 0.4954 0.3172  7 Br 3.27-3.62
Tl: 0.6937 0.5046 0.6828  7 Br 3.27-3.62
Ir: 0.0000 0.0000 0.5000  6 Br 2.50
Br: 0.1670 0.2413 0.6217  1 Ir 2.50
Br: 0.1708 0.7556 0.6195  1 Ir 2.50
Br: 0.2494 0.4997 0.9946  2 Br 3.00-3.07, 1 Tl 3.27
Br: 0.3418 0.0011 0.2880  1 Ir 2.50
Br: 0.6582 0.9989 0.7120  1 Ir 2.50
Br: 0.7506 0.5003 0.0054  2 Br 3.00-3.07, 1 Tl 3.27
Br: 0.8292 0.2444 0.3805  1 Ir 2.50
Br: 0.8330 0.7587 0.3783  1 Ir 2.50

raw formation energy: -0.669 eV per atom
space-group type: P-1 (2)
crystal system: triclinic

=====

VASP calculation (PBE) on a geometry-optimized KBaAu2F8 structure.

Cell lengths 6.9329, 6.9329, 6.9329 Å; angles 126.16, 126.16, 79.63 degrees
Last column: nearest neighbours and their distance in Å.
Positions (direct):
K: 0.0000 0.0000 0.0000  8 F 2.80-2.89
Ba: 0.2500 0.7500 0.5000  8 F 2.64-2.86
Au: 0.5000 0.5000 0.0000  4 F 2.02
Au: 0.7500 0.2500 0.5000  4 F 2.09
F: 0.0393 0.3623 0.9334  1 Au 2.09
F: 0.2093 0.4160 0.5956  1 Au 2.02
F: 0.3864 0.7907 0.2067  1 Au 2.02
F: 0.4289 0.1059 0.0666  1 Au 2.09
F: 0.5840 0.1797 0.7933  1 Au 2.02
F: 0.6377 0.5711 0.6770  1 Au 2.09
F: 0.8203 0.6136 0.4044  1 Au 2.02
F: 0.8941 0.9607 0.3230  1 Au 2.09

raw formation energy: -2.010 eV per atom
space-group type: I-4 (82)
crystal system: tetragonal

=====

VASP calculation (PBE) on a geometry-optimized AgMo2W structure.

Cell lengths 2.6317, 4.3530, 5.7222 Å; angles 90.00, 90.00, 90.00 degrees
Last column: nearest neighbours and their distance in Å.
Positions (direct):
Ag: 0.0000 0.0000 0.0000  2 Ag 2.63, 2 W 2.86, 8 Mo 2.93
Mo: 0.5000 0.5000 0.2556  4 Mo 2.63-2.92, 4 W 2.90, 4 Ag 2.93
Mo: 0.5000 0.5000 0.7444  4 Mo 2.63-2.92, 4 W 2.90, 4 Ag 2.93
W: 0.0000 0.0000 0.5000  2 W 2.63, 2 Ag 2.86, 8 Mo 2.90

energy of formation: 0.4551 eV/atom
space-group type: Pmmm (47)
crystal system: orthorhombic
E above lowest polymorph: 209 meV/atom

=====

VASP calculation (PBE) on a geometry-optimized CsGa2SiPt structure.

Cell lengths 5.9846, 5.9846, 5.1845 Å; angles 90.00, 90.00, 90.00 degrees
Last column: nearest neighbours and their distance in Å.
Positions (direct):
Cs: 0.0000 0.0000 0.0000  2 Pt 2.59
Ga: 0.0000 0.5000 0.0000  2 Cs 2.99
Ga: 0.5000 0.0000 0.0000  2 Cs 2.99
Si: 0.5000 0.5000 0.5000  8 Ga 3.96, 4 Pt 4.23
Pt: 0.0000 0.0000 0.5000  2 Cs 2.59

raw formation energy: 1.746 eV per atom
space-group type: P4/mmm (123)
crystal system: tetragonal

=====

VASP calculation (PBE) on a geometry-optimized Cd2SiIr2 structure.

Cell lengths 6.1687, 6.1687, 4.6209 Å; angles 90.00, 90.00, 90.00 degrees
Last column: nearest neighbours and their distance in Å.
Positions (direct):
Cd: 0.1639 0.3361 0.0000  6 Ir 2.82-3.02, 1 Cd 2.86
Cd: 0.3361 0.8361 0.0000  6 Ir 2.82-3.02, 1 Cd 2.86
Cd: 0.6639 0.1639 0.0000  6 Ir 2.82-3.02, 1 Cd 2.86
Cd: 0.8361 0.6639 0.0000  6 Ir 2.82-3.02, 1 Cd 2.86
Si: 0.0000 0.0000 0.5000  4 Ir 2.35
Si: 0.5000 0.5000 0.5000  4 Ir 2.35
Ir: 0.1508 0.6508 0.5000  2 Si 2.35
Ir: 0.3492 0.1508 0.5000  2 Si 2.35
Ir: 0.6508 0.8492 0.5000  2 Si 2.35
Ir: 0.8492 0.3492 0.5000  2 Si 2.35

raw formation energy: -0.196 eV per atom
space-group type: P4/mbm (127)
crystal system: tetragonal

=====

Number 1: D(E_F) 1.2 states/eV/f.u., M_tot 0.0 μB/f.u., final energy -2.17 eV per atom. Number 2: D(E_F) 2.6 states/eV/f.u., M_tot 0.0 μB/f.u., final energy -6.16 eV per atom. Number 3: D(E_F) 3.2 states/eV/f.u., M_tot 0.0 μB/f.u., final energy -2.73 eV per atom. Number 4: D(E_F) 9.8 states/eV/f.u., M_tot 0.9 μB/f.u., final energy -2.99 eV per atom. Number 5: D(E_F) 5.9 states/eV/f.u., M_tot 1.0 μB/f.u., final energy -4.06 eV per atom. Number 6: D(E_F) 3.2 states/eV/f.u., M_tot 0.0 μB/f.u., final energy -8.91 eV per atom. Number 7: D(E_F) 5.4 states/eV/f.u., M_tot 0.0 μB/f.u., final energy -1.93 eV per atom. Number 8: D(E_F) 2.6 states/eV/f.u., M_tot 0.0 μB/f.u., final energy -5.19 eV per atom.